No. 1
This record from Alexandria via LeMat-Bulk describes crystalline In2SiBi at its relaxed geometry. The functional is GGA-PBE.

Computed properties:
- distance to the lowest polymorph of the same formula (meV/atom) = 0
- total moment (μB per cell) = 0.0
- crystal system = tetragonal

Cell: 6.5098 6.5098 7.8027 Å, 65.35 65.35 90.00°
Fractional positions:
Si: 0.5000 0.5000 0.0000
Si: 0.2500 0.7500 0.5000
Bi: 0.7500 0.2500 0.5000
Bi: 0.0000 0.0000 0.0000
In: 0.5786 0.1250 0.2500
In: 0.3750 0.4214 0.7500
In: 0.8750 0.8286 0.7500
In: 0.1714 0.6250 0.2500



No. 2
This record from Alexandria via LeMat-Bulk describes crystalline Pm8Pr6In at its relaxed geometry. The functional is GGA-PBE.

Computed properties:
- formation energy from the elements (eV per formula unit) = 0.785
- total moment (μB per cell) = 0.0
- crystal system = trigonal

Cell: 6.6662 9.5240 9.5239 Å, 120.00 90.00 90.00°
Fractional positions:
Pr: 0.6713 0.6465 0.0907
Pr: 0.3287 0.0907 0.4442
Pr: 0.3287 0.5558 0.6465
Pr: 0.3287 0.3535 0.9093
Pr: 0.6713 0.9093 0.5558
Pr: 0.6713 0.4442 0.3535
Pm: 0.1371 0.6667 0.3333
Pm: 0.8187 0.0402 0.2663
Pm: 0.8629 0.3333 0.6667
Pm: 0.8187 0.7337 0.7738
Pm: 0.8187 0.2262 0.9598
Pm: 0.1813 0.7738 0.0402
Pm: 0.1813 0.9598 0.7337
Pm: 0.1813 0.2663 0.2262
In: 0.5000 0.0000 0.0000



No. 3
This record from Alexandria via LeMat-Bulk describes crystalline Sm2Tm6Mg at its relaxed geometry. The functional is GGA-PBE.

Computed properties:
- formation energy from the elements (eV per formula unit) = 0.272
- distance to the lowest polymorph of the same formula (meV/atom) = 0
- total moment (μB per cell) = 0.0
- crystal system = tetragonal

Cell: 4.9836 10.4412 10.4414 Å, 90.00 90.00 90.00°
Fractional positions:
Tm: 0.9998 0.3345 0.5007
Tm: 0.0002 0.6655 0.4993
Tm: 0.5001 0.4992 0.3345
Tm: 0.9999 0.9992 0.1655
Tm: 0.4998 0.1685 0.6684
Tm: 0.9998 0.3315 0.1684
Tm: 0.4998 0.1655 0.0007
Tm: 0.5002 0.8345 0.9993
Tm: 0.0002 0.6685 0.8316
Tm: 0.0001 0.0008 0.8345
Tm: 0.5002 0.8315 0.3316
Tm: 0.4999 0.5008 0.6655
Sm: 0.9998 0.3349 0.8348
Sm: 0.4998 0.1651 0.3348
Sm: 0.0002 0.6651 0.1652
Sm: 0.5002 0.8349 0.6652
Mg: 0.5000 0.5000 0.0000
Mg: 0.0000 0.0000 0.5000



No. 4
This record from Alexandria via LeMat-Bulk describes crystalline ZnMo2As at its relaxed geometry. The functional is GGA-PBE.

Computed properties:
- formation energy from the elements (eV per formula unit) = 1.002
- distance to the lowest polymorph of the same formula (meV/atom) = 222
- total moment (μB per cell) = 0.0
- crystal system = orthorhombic

Cell: 4.3053 4.3053 3.3098 Å, 90.00 90.00 98.21°
Fractional positions:
Zn: 0.5000 0.0000 0.5000
As: 0.0000 0.5000 0.5000
Mo: 0.0000 0.0000 0.0000
Mo: 0.5000 0.5000 0.0000



No. 5
This record from Alexandria via LeMat-Bulk describes crystalline Mg3PdAu3 at its relaxed geometry. The functional is GGA-PBE.

Computed properties:
- formation energy from the elements (eV per formula unit) = -3.188
- total moment (μB per cell) = 0.0
- crystal system = monoclinic

Cell: 6.6072 6.6072 6.0771 Å, 90.17 90.17 91.06°
Fractional positions:
Au: 0.4970 0.0022 0.2506
Au: 0.9978 0.5030 0.7494
Au: 0.5030 0.9978 0.7494
Au: 0.9974 0.9974 0.7658
Au: 0.0026 0.0026 0.2342
Au: 0.0022 0.4970 0.2506
Mg: 0.3221 0.6779 0.0000
Mg: 0.7633 0.2367 0.5000
Mg: 0.7412 0.7412 0.4935
Mg: 0.2588 0.2588 0.5065
Mg: 0.6779 0.3221 0.0000
Mg: 0.2367 0.7633 0.5000
Pd: 0.2710 0.2710 0.9957
Pd: 0.7290 0.7290 0.0043



No. 6
This record from Alexandria via LeMat-Bulk describes crystalline SrAuSe at its relaxed geometry. The functional is GGA-PBE.

Computed properties:
- distance to the lowest polymorph of the same formula (meV/atom) = 0
- total moment (μB per cell) = 0.1
- crystal system = hexagonal

Cell: 4.7324 4.7324 4.1046 Å, 90.00 90.00 120.00°
Fractional positions:
Se: 0.6667 0.3333 0.1665
Sr: 0.3333 0.6667 0.6665
Au: 0.0000 0.0000 0.1669



No. 7
This record from Alexandria via LeMat-Bulk describes crystalline LaP2Ru at its relaxed geometry. The functional is GGA-PBE.

Computed properties:
- formation energy from the elements (eV per formula unit) = 0.194
- distance to the lowest polymorph of the same formula (meV/atom) = 1035
- total moment (μB per cell) = 0.0
- crystal system = trigonal

Cell: 7.9899 7.9899 7.9899 Å, 23.81 23.81 23.81°
Fractional positions:
Ru: 0.4814 0.4814 0.4814
La: 0.2507 0.2507 0.2507
P: 0.0213 0.0213 0.0213
P: 0.7466 0.7466 0.7466



No. 8
This record from Alexandria via LeMat-Bulk describes crystalline KMn2I2 at its relaxed geometry. The functional is GGA-PBE.

Computed properties:
- distance to the lowest polymorph of the same formula (meV/atom) = 0
- total moment (μB per cell) = 9.0
- crystal system = tetragonal

Cell: 5.4862 5.4862 6.6693 Å, 65.71 65.71 90.00°
Each line ends with the local moment (μB).
Fractional positions:
Mn: 0.3802 0.3802 0.2396  4.06
Mn: 0.6198 0.6198 0.7604  4.06
I: 0.7500 0.2500 0.5000  0.05
I: 0.2500 0.7500 0.5000  0.05
K: 0.0000 0.0000 0.0000  0.00



No. 9
This record from Alexandria via LeMat-Bulk describes crystalline Na2SrO2 at its relaxed geometry. The functional is GGA-PBE.

Computed properties:
- total moment (μB per cell) = 0.0
- crystal system = tetragonal
- raw total energy (eV/atom) = -4.233

Cell: 6.7794 6.7794 3.4812 Å, 90.00 90.00 90.00°
Fractional positions:
O: 0.8099 0.6901 0.0000
O: 0.3099 0.8099 0.0000
O: 0.6901 0.1901 0.0000
O: 0.1901 0.3099 0.0000
Na: 0.1264 0.6264 0.5000
Na: 0.3736 0.1264 0.5000
Na: 0.8736 0.3736 0.5000
Na: 0.6264 0.8736 0.5000
Sr: 0.5000 0.5000 0.0000
Sr: 0.0000 0.0000 0.0000



No. 10
This record from Alexandria via LeMat-Bulk describes crystalline TmPuPt2 at its relaxed geometry. The functional is GGA-PBE.

Computed properties:
- formation energy from the elements (eV per formula unit) = -4.207
- total moment (μB per cell) = 5.4
- crystal system = orthorhombic

Cell: 3.7781 4.3574 5.6853 Å, 90.00 109.39 90.00°
Each line ends with the local moment (μB).
Fractional positions:
Pt: 0.1731 0.5000 0.8856  -0.01
Pt: 0.9923 0.0000 0.5233  -0.06
Pu: 0.4441 0.5000 0.4269  5.12
Tm: 0.7215 0.0000 0.9822  0.10



No. 11
This record from Alexandria via LeMat-Bulk describes crystalline Tb2Ga3AgPd4 at its relaxed geometry. The functional is GGA-PBE.

Computed properties:
- formation energy from the elements (eV per formula unit) = -7.029
- total moment (μB per cell) = 0.0
- crystal system = tetragonal

Cell: 3.9997 3.9997 11.8750 Å, 90.00 90.00 90.00°
Fractional positions:
Pd: 0.0000 0.5000 0.3397
Pd: 0.5000 0.0000 0.6603
Pd: 0.0000 0.0000 0.0000
Pd: 0.5000 0.5000 0.0000
Ag: 0.5000 0.5000 0.5000
Tb: 0.0000 0.5000 0.7472
Tb: 0.5000 0.0000 0.2528
Ga: 0.0000 0.0000 0.5000
Ga: 0.5000 0.0000 0.8698
Ga: 0.0000 0.5000 0.1302